VASP calculation (GGA-PBE) on an optimized crystal structure of Sr4ThN4.

The final energy is -110.00 eV per cell. The value obtained for the density of states at the Fermi level is 0.4505 states/eV/atom.

The space group is C2/m (No. 12) and the conventional cell measures 12.6081, 3.7952 and 9.4869 Å, with angles of 90.00, 120.66 and 90.00 degrees. The distinct sites, in fractional coordinates, are Sr at (0.1169, 0.0000, 0.3784), Sr at (0.2071, 0.5000, 0.8189), Th at (0.0000, 0.5000, 0.0000), N at (0.0819, 0.0000, 0.9096) and N at (0.1968, 0.5000, 0.2828).

***

VASP calculation (GGA-PBE) on an optimized crystal structure of Be3SbRh.

The final energy is -20.81 eV per cell. The value obtained for the density of states at the Fermi level is 0.5744 states/eV/atom. The value obtained for the offset from the most stable computed form is 0.0000 eV per atom.

The space group is Pm-3m (No. 221) and the conventional cell measures 4.2697, 4.2697 and 4.2697 Å, with angles of 90.00, 90.00 and 90.00 degrees. The distinct sites, in fractional coordinates, are Be at (0.0000, 0.0000, 0.5000), Sb at (0.5000, 0.5000, 0.5000) and Rh at (0.0000, 0.0000, 0.0000).

***

VASP calculation (GGA-PBE) on an optimized crystal structure of ScS2NCl.

The final energy is -20.70 eV per cell. The value obtained for the density of states at the Fermi level is 0.6592 states/eV/atom. The value obtained for the offset from the most stable computed form is 0.6399 eV per atom.

The space group is P4/mmm (No. 123) and the conventional cell measures 4.5561, 4.5561 and 3.9369 Å, with angles of 90.00, 90.00 and 90.00 degrees. The distinct sites, in fractional coordinates, are Sc at (0.0000, 0.0000, 0.0000), S at (0.0000, 0.5000, 0.5000), N at (0.5000, 0.5000, 0.0000) and Cl at (0.5000, 0.5000, 0.5000).

***

VASP calculation (GGA-PBE) on an optimized crystal structure of Sb2AsPb.

The final energy is -31.22 eV per cell. The value obtained for the density of states at the Fermi level is 0.4662 states/eV/atom. The value obtained for the offset from the most stable computed form is 0.2235 eV per atom.

The space group is Cmmm (No. 65) and the conventional cell measures 3.8584, 5.5183 and 9.9977 Å, with angles of 90.00, 90.00 and 90.00 degrees. The distinct sites, in fractional coordinates, are Sb at (0.0000, 0.0000, 0.2192), As at (0.0000, 0.5000, 0.0000) and Pb at (0.0000, 0.5000, 0.5000).

***

VASP calculation (GGA-PBE) on an optimized crystal structure of CaCd2CuPb.

The final energy is -6.99 eV per cell. The value obtained for the density of states at the Fermi level is 0.9776 states/eV/atom. The value obtained for the calculated formation energy is 0.9299 eV/atom.

The space group is P4/mmm (No. 123) and the conventional cell measures 5.8754, 5.8754 and 6.1319 Å, with angles of 90.00, 90.00 and 90.00 degrees. The distinct sites, in fractional coordinates, are Ca at (0.0000, 0.0000, 0.0000), Cd at (0.0000, 0.5000, 0.0000), Cu at (0.5000, 0.5000, 0.5000) and Pb at (0.0000, 0.0000, 0.5000).